i | IrRh2Au | Alexandria | PBE | relaxed; symmetry = R3m (160)
1.0
1.390 0.803 9.095
-1.390 0.803 9.095
0.000 -1.605 9.095
Ir Rh Au
1 2 1
Direct
0.000 0.000 0.000 Ir
0.491 0.491 0.491 Rh
0.745 0.745 0.745 Rh
0.245 0.245 0.245 Au

=====

ii | IrRh2Au | Alexandria | PBE | relaxed; symmetry = C2/m (12)
1.0
4.566 -1.398 0.000
4.566 1.398 0.000
-0.865 0.000 4.760
Ir Rh Au
1 2 1
Direct
0.000 0.000 0.000 Ir
0.256 0.256 0.764 Rh
0.744 0.744 0.236 Rh
0.500 0.500 0.500 Au

=====

i takes first place; second place is 0.035 eV/atom up.

=====

i | IrRh2Au | Alexandria | PBE | relaxed; symmetry = I-42d (122)
1.0
-3.531 3.531 2.713
3.531 -3.531 2.713
3.531 3.531 -2.713
Ir Rh Au
2 4 2
Direct
0.000 0.000 0.000 Ir
0.750 0.250 0.500 Ir
0.100 0.625 0.975 Rh
0.375 0.350 0.475 Rh
0.650 0.125 0.025 Rh
0.875 0.900 0.525 Rh
0.250 0.750 0.500 Au
0.500 0.500 0.000 Au

=====

ii | IrRh2Au | Alexandria | PBE | relaxed; symmetry = P4/mmm (123)
1.0
4.727 0.000 0.000
0.000 4.727 0.000
0.000 0.000 2.757
Ir Rh Au
1 2 1
Direct
0.000 0.000 0.000 Ir
0.000 0.500 0.500 Rh
0.500 0.000 0.500 Rh
0.500 0.500 0.000 Au

=====

ii takes first place; second place is 0.292 eV/atom up.

=====

i | IrRh2Au | Alexandria | PBE | relaxed; symmetry = Cmmm (65)
1.0
2.782 -3.897 0.000
2.782 3.897 0.000
0.000 0.000 2.791
Ir Rh Au
1 2 1
Direct
0.000 0.000 0.000 Ir
0.000 0.500 0.500 Rh
0.500 0.000 0.500 Rh
0.500 0.500 0.000 Au

=====

ii | IrRh2Au | Alexandria | PBE | relaxed; symmetry = Pmm2 (25)
1.0
2.779 0.000 0.000
0.000 3.849 0.000
0.000 0.000 5.689
Ir Rh Au
1 2 1
Direct
0.000 0.000 0.000 Ir
0.000 0.000 0.468 Rh
0.500 0.500 0.225 Rh
0.500 0.500 0.729 Au

=====

ii takes first place; second place is 0.007 eV/atom up.